A relaxed VGaBi2 crystal, computed with GGA-PBE.

Unit cell a=7.888 b=7.888 c=7.888 alpha=132.14 beta=132.14 gamma=70.00
Sites, in units of the cell vectors:
V 0.000 0.000 0.000
V 0.750 0.250 0.500
Ga 0.250 0.750 0.500
Ga 0.500 0.500 0.000
Bi 0.115 0.625 0.990
Bi 0.375 0.365 0.490
Bi 0.635 0.125 0.010
Bi 0.875 0.885 0.510

Space-group type   No. 122
Formation energy from the elements   46.4 kJ/mol of atoms
DOS(E_F)   0.648 states/eV per atom
Total DFT energy (no corrections)   -35.97 eV for the cell shown

A relaxed SrZrCd2 crystal, computed with GGA-PBE.

Unit cell a=6.172 b=6.172 c=5.660 alpha=108.57 beta=108.57 gamma=31.46
Sites, in units of the cell vectors:
Sr 0.000 0.000 0.000
Zr 0.212 0.212 0.640
Cd 0.471 0.471 0.493
Cd 0.757 0.757 0.174

Space-group type   No. 8
Formation energy from the elements   7.5 kJ/mol of atoms
DOS(E_F)   0.989 states/eV per atom
Total DFT energy (no corrections)   -11.75 eV for the cell shown